VASP calculation (GGA-PBE) on crystalline Ba8NaCd2 at its relaxed geometry.

The structure in CIF format:
```
data_Ba8NaCd2
_space_group_name_H-M_alt 'P 1'
_space_group_IT_number 1
_cell_length_a 6.336
_cell_length_b 8.675
_cell_length_c 11.447
_cell_angle_alpha 112.21
_cell_angle_beta 106.01
_cell_angle_gamma 90.11
loop_
_space_group_symop_operation_xyz
'x,y,z'
loop_
_atom_site_label
_atom_site_fract_x
_atom_site_fract_y
_atom_site_fract_z
Ba1 0.637 0.269 0.909
Ba2 0.973 0.023 0.582
Ba3 0.300 0.349 0.236
Ba4 0.747 0.940 0.129
Ba5 0.348 0.855 0.332
Ba6 0.925 0.432 0.486
Ba7 0.137 0.557 0.909
Ba8 0.526 0.720 0.689
Na1 0.136 0.983 0.909
Cd1 0.800 0.601 0.238
Cd2 0.472 0.272 0.580
```

Spin magnetization in μB/atom: 0.0000
Density of states at the Fermi level in states/eV/cell: 16.584
Symmetry: Cm, No. 8
Offset from the most stable computed form in eV per atom: 0.0188
E_form in eV per formula unit: -0.8
DFT total energy in eV per cell: -19.33